Model i:
## K2Rb2O (PBE)

Data for a relaxed structure of K2Rb2O.

Structure (extended XYZ):
```
10
Lattice="-2.465 6.595 -3.406 -6.304 -3.755 -2.709 -4.120 1.988 6.831" Properties=species:S:1:pos:R:3 pbc="T T T"
O -4.384 1.420 -3.058
O 0.000 0.000 0.000
K -6.524 2.271 -4.596
Rb -8.841 2.572 -1.134
K -5.463 -1.129 -2.967
Rb -4.047 2.256 1.849
K -3.305 3.969 -3.149
Rb -5.952 5.153 -0.143
K -2.244 0.569 -1.519
Rb -6.936 -0.325 0.858
```

The space-group type is No. 127. Its volume is 50.3 Å³/atom. The calculation puts the density of states at the Fermi level at 0.33 states/eV/atom.

***

Model ii:
## K2Rb2O (PBE)

Data for a relaxed structure of K2Rb2O.

Structure (extended XYZ):
```
10
Lattice="-3.123 1.186 -2.588 -3.342 -6.948 0.849 -7.870 5.240 11.900" Properties=species:S:1:pos:R:3 pbc="T T T"
Rb -3.496 -4.518 2.148
O 0.000 0.000 0.000
Rb -7.717 2.811 10.601
K -11.615 -0.443 10.364
Rb -3.757 0.242 4.645
K -7.060 -1.775 4.256
K -2.721 -0.078 -0.203
K -7.275 1.254 5.904
O -5.606 -0.854 6.374
Rb -7.456 -1.949 8.104
```

The space-group type is No. 55. Its volume is 49.8 Å³/atom. The calculation puts the density of states at the Fermi level at 0.37 states/eV/atom.

***

Which structure loses on stability? model i does.

***

Model i:
## KRb4O (PBE)

Data for a relaxed structure of KRb4O.

Structure (extended XYZ):
```
12
Lattice="4.931 0.000 0.000 0.000 12.321 0.000 -2.466 0.000 12.482" Properties=species:S:1:pos:R:3 pbc="T T T"
O 0.000 3.883 9.863
O 2.466 10.044 2.619
K 0.000 3.696 3.329
Rb 0.000 1.785 8.187
Rb 2.466 7.946 4.296
Rb 0.000 5.639 7.925
Rb 0.000 5.783 11.770
Rb 2.466 11.943 0.712
Rb 0.000 9.195 1.657
K 2.466 9.857 9.153
Rb 2.466 11.799 4.557
Rb 2.466 3.034 10.825
```

The space-group type is No. 36. Its volume is 63.2 Å³/atom. The calculation puts the density of states at the Fermi level at 0.48 states/eV/atom.

***

Model ii:
## KRb4O (PBE)

Data for a relaxed structure of KRb4O.

Structure (extended XYZ):
```
6
Lattice="5.248 0.000 1.731 2.624 8.007 0.865 0.116 0.000 8.469" Properties=species:S:1:pos:R:3 pbc="T T T"
Rb 3.156 6.405 7.058
Rb 7.069 5.715 4.018
Rb 5.564 2.292 8.580
Rb 4.228 1.601 3.808
K 2.323 0.000 0.766
O 4.944 0.000 1.631
```

The space-group type is No. 87. Its volume is 59.0 Å³/atom. The calculation puts the density of states at the Fermi level at 0.53 states/eV/atom.

***

Which structure loses on stability? model i does.